A relaxed structure of Ca2BeP. Source: Alexandria, functional PBE-GGA.

## Properties
For the formation enthalpy at 0 K, the calculation gives 0.33 eV per atom. As for the energy above the most stable polymorph in this dataset: 0.892 eV per atom. The value obtained for the total energy is -2.95 eV/atom. For the total moment, the calculation gives 0.00 μB/f.u. The space-group type is No. 216.

Cell lengths 4.988, 4.988, 4.988 Å; angles 60.00, 60.00, 60.00 degrees
Atoms (fractional coordinates):
P1 0.250 0.250 0.250
Ca1 0.000 0.000 0.000
Ca2 0.750 0.750 0.750
Be1 0.500 0.500 0.500

A relaxed structure of Cs2Li2PbF7. Source: Alexandria, functional PBE-GGA.

## Properties
The value obtained for the total energy is -4.33 eV/atom. For the total moment, the calculation gives 0.22 μB/f.u. The space-group type is No. 139. For the uncorrected formation energy, the calculation gives -2.4659 eV/atom.

Cell lengths 4.068, 4.068, 11.743 Å; angles 80.02, 80.02, 90.00 degrees
Atoms (fractional coordinates):
Cs1 0.820 0.820 0.359
Cs2 0.180 0.180 0.641
Li1 0.585 0.585 0.830
Li2 0.415 0.415 0.170
Pb1 0.000 0.000 0.000
F1 0.500 0.500 0.000
F2 0.323 0.323 0.353
F3 0.677 0.677 0.647
F4 0.927 0.427 0.145
F5 0.427 0.927 0.145
F6 0.573 0.073 0.855
F7 0.073 0.573 0.855

A relaxed structure of CaPt2Cl. Source: Alexandria, functional PBE-GGA.

## Properties
As for the energy above the most stable polymorph in this dataset: 0.453 eV per atom. The value obtained for the total energy is -4.39 eV/atom. For the total moment, the calculation gives 0.69 μB/f.u. The space-group type is No. 44. For the uncorrected formation energy, the calculation gives -0.4083 eV/atom.

Cell lengths 5.190, 5.190, 5.190 Å; angles 134.77, 120.90, 77.42 degrees
Atoms (fractional coordinates):
Ca1 0.486 0.486 0.000
Pt1 0.006 0.006 0.000
Pt2 0.801 0.301 0.500
Cl1 0.206 0.706 0.500

A relaxed structure of BiSbBr2. Source: Alexandria, functional PBE-GGA.

## Properties
As for the energy above the most stable polymorph in this dataset: 0.221 eV per atom. The value obtained for the total energy is -2.75 eV/atom. For the total moment, the calculation gives 0.00 μB/f.u. The space-group type is No. 122. For the uncorrected formation energy, the calculation gives 0.0869 eV/atom.

Cell lengths 8.592, 8.592, 6.943 Å; angles 51.77, 51.77, 90.00 degrees
Atoms (fractional coordinates):
Sb1 0.500 0.500 0.000
Sb2 0.250 0.750 0.500
Bi1 0.000 0.000 0.000
Bi2 0.750 0.250 0.500
Br1 0.631 0.125 0.250
Br2 0.119 0.625 0.250
Br3 0.375 0.369 0.750
Br4 0.875 0.881 0.750